KHoV2O8 | the Alexandria database | PBE+U | relaxed; symmetry = P-3m1 (164); density of states at the Fermi level = 10.7 states/eV per cell; calculated total energy = -6.991 eV/atom
1.0
5.8945 0.0000 0.0000
-2.9473 5.1048 0.0000
0.0000 0.0000 7.6632
O V Ho K
8 2 1 1
direct
0.8286 0.1714 0.1817
0.3428 0.1714 0.1817
0.1714 0.8286 0.8183
0.8286 0.6572 0.1817
0.6667 0.3333 0.4784
0.6572 0.8286 0.8183
0.1714 0.3428 0.8183
0.3333 0.6667 0.5216
0.3333 0.6667 0.7453
0.6667 0.3333 0.2547
0.0000 0.0000 0.0000
0.0000 0.0000 0.5000